Compound: Pr5N4O
Source: the Alexandria database
Functional: GGA-PBE
Structure: optimized geometry

## Properties
Formation energy without anion corrections (eV per atom): -1.64
Total moment (μB per formula unit): 0.00

Cell lengths 9.7309, 9.7309, 9.7309 Å; angles 158.23, 149.05, 38.16 degrees
With the nearest neighbours (Å) after each atom.
Sites, in units of the cell vectors:
Pr1 0.0000 0.0000 0.0000  4 N 2.58, 2 O 2.60
Pr2 0.1998 0.1998 0.0000  6 N 2.60-2.65
Pr3 0.3966 0.3966 0.0000  4 N 2.51-2.60, 2 O 2.64
Pr4 0.6034 0.6034 0.0000  4 N 2.51-2.60, 2 O 2.64
Pr5 0.8002 0.8002 0.0000  6 N 2.60-2.65
N1 0.0983 0.5983 0.5000  6 Pr 2.58-2.62
N2 0.3035 0.8035 0.5000  6 Pr 2.51-2.65
N3 0.6965 0.1965 0.5000  6 Pr 2.51-2.65
N4 0.9017 0.4017 0.5000  6 Pr 2.58-2.62
O1 0.5000 0.0000 0.5000  6 Pr 2.60-2.64